The following is a DFT calculation (PBE-GGA) of crystalline CsFeTe2AuS at its relaxed geometry.

abc: 3.939 16.087 11.301
angles: 90.00 90.00 90.00
Space group Cmcm (No. 63)
One atom of each set of equivalent atoms:
Cs  0.000  0.242  0.250 [4 per cell]
Fe  0.000  0.500  0.000 [4 per cell]
Te  0.000  0.108  0.534 [8 per cell]
Au  0.000  0.031  0.750 [4 per cell]
S  0.000  0.439  0.750 [4 per cell]

Computed properties:
density: 6.24 Mg/m³
calculated total energy: -3.966 eV/atom
V: 29.84 Å³/atom